Density functional theory data (meta-GGA SCAN) for a crystal of KAs2IBr relaxed with PBEsol.

The structure in CIF format:
```
data_KAs2IBr
_symmetry_space_group_name_H-M 'P 4/m m m'
_symmetry_Int_Tables_number 123
_symmetry_space_group_name_Hall '-P 4 2'
_cell_length_a 5.276
_cell_length_b 5.276
_cell_length_c 7.123
_cell_angle_alpha 90.00
_cell_angle_beta 90.00
_cell_angle_gamma 90.00
loop_
_atom_site_label
_atom_site_fract_x
_atom_site_fract_y
_atom_site_fract_z
K1 0.000 0.000 0.000
As1 0.000 0.500 0.500
I1 0.500 0.500 0.500
Br1 0.500 0.500 0.000
```

Output
D(E_F)	3.6	states/eV per cell
ΔE_f (raw)	26.54	kJ/mol of atoms
total moment	2.53	μB/f.u.

Density functional theory data (meta-GGA SCAN) for a crystal of ScReMo3 relaxed with PBEsol.

The structure in CIF format:
```
data_ScReMo3
_symmetry_space_group_name_H-M 'P m -3 m'
_symmetry_Int_Tables_number 221
_symmetry_space_group_name_Hall '-P 4 2 3'
_cell_length_a 4.421
_cell_length_b 4.421
_cell_length_c 4.421
_cell_angle_alpha 90.00
_cell_angle_beta 90.00
_cell_angle_gamma 90.00
loop_
_atom_site_label
_atom_site_fract_x
_atom_site_fract_y
_atom_site_fract_z
Sc1 0.000 0.000 0.000
Re1 0.500 0.500 0.500
Mo1 0.000 0.000 0.500
```

Output
D(E_F)	6.1	states/eV per cell
DFT formation energy	1140	kJ/mol of formula units
total moment	0.00	μB/f.u.